Entry 1:
First-principles (GGA-PBE) data for crystalline PmPa2In9 at its relaxed geometry, as listed in the Alexandria database.

```
PmPa2In9
1.0
4.662 0.000 0.000
0.000 4.662 0.000
0.000 0.000 13.981
Pm Pa In
1 2 9
Cartesian
0.000 0.000 0.000 Pm
0.000 0.000 4.677 Pa
0.000 0.000 9.304 Pa
0.000 2.331 2.360 In
0.000 2.331 6.991 In
0.000 2.331 11.621 In
2.331 0.000 2.360 In
2.331 0.000 6.991 In
2.331 0.000 11.621 In
2.331 2.331 0.000 In
2.331 2.331 4.678 In
2.331 2.331 9.303 In
```

Output
Crystal system: tetragonal
Total magnetization in μB per formula unit: 2.15
N(E_F) in states/eV per atom: 0.977
Uncorrected energy in eV/atom: -4.28



Entry 2:
First-principles (GGA-PBE) data for crystalline Pm3PaIn3Se8 at its relaxed geometry, as listed in the Alexandria database.

```
Pm3PaIn3Se8
1.0
4.237 2.446 7.757
-4.237 2.446 7.757
0.000 -4.892 7.757
Pm Pa In Se
3 1 3 8
Cartesian
-2.118 -1.223 7.757 Pm
-2.118 1.223 15.513 Pm
0.000 2.446 7.757 Pm
0.000 0.000 0.000 Pa
-4.237 0.000 11.635 In
-2.118 1.223 3.878 In
2.118 1.223 3.878 In
0.000 -2.523 9.374 Se
-2.185 1.262 9.374 Se
-2.185 -1.262 13.896 Se
0.000 0.000 6.101 Se
0.000 0.000 17.169 Se
2.185 1.262 9.374 Se
2.185 -1.262 13.896 Se
0.000 2.523 13.896 Se
```

Output
Formation energy from raw total energies in kJ/mol of formula units: -1889
Crystal system: trigonal
Total magnetization in μB per formula unit: 1.06
N(E_F) in states/eV per atom: 0.393



Entry 3:
First-principles (GGA-PBE) data for crystalline Pm2PaIn3Se6 at its relaxed geometry, as listed in the Alexandria database.

```
Pm2PaIn3Se6
1.0
3.635 -6.291 0.000
3.635 6.291 0.000
-2.418 0.000 7.817
Pm Pa In Se
2 1 3 6
Cartesian
3.635 4.198 0.000 Pm
3.635 -4.198 0.000 Pm
3.635 0.000 0.000 Pa
-1.209 0.000 3.909 In
2.426 2.133 3.909 In
2.426 -2.133 3.909 In
0.043 2.033 6.150 Se
1.291 0.000 1.690 Se
0.043 -2.033 6.150 Se
4.810 2.033 1.668 Se
3.561 0.000 6.127 Se
4.810 -2.033 1.668 Se
```

Output
Formation energy from raw total energies in kJ/mol of formula units: -1322
Crystal system: monoclinic
Total magnetization in μB per formula unit: 2.06
N(E_F) in states/eV per atom: 0.663